(1)
A relaxed CuHg crystal, computed with GGA-PBE.

a = 6.414 Å, b = 6.414 Å, c = 6.765 Å
α = 63.51°, β = 63.51°, γ = 26.17°
Fractional positions:
Cu 0.037 0.037 0.000
Cu 0.349 0.349 0.238
Cu 0.433 0.433 0.827
Hg 0.676 0.676 0.591
Hg 0.717 0.717 0.045
Hg 0.955 0.955 0.465

The density of states at the Fermi level is 0.387 states/eV per atom. The value obtained for the formation energy is 147 meV/atom.

=====

(2)
A relaxed CuHg2 crystal, computed with GGA-PBE.

a = 4.659 Å, b = 4.659 Å, c = 6.449 Å
α = 90.00°, β = 90.00°, γ = 120.00°
Fractional positions:
Cu 0.333 0.667 0.250
Cu 0.667 0.333 0.750
Hg 0.000 0.000 0.000
Hg 0.000 0.000 0.500
Hg 0.333 0.667 0.750
Hg 0.667 0.333 0.250

The density of states at the Fermi level is 0.563 states/eV per atom. The value obtained for the formation energy is 280 meV/atom.

=====

| no. | DFT total energy (eV/atom) | calculated volume (Å³/cell) |
| --- | --- | --- |
| 1 | -2.052 | 109 |
| 2 | -1.287 | 121 |